1.
Density functional theory data (GGA-PBE) for a relaxed YTl3S crystal.

Results
Energy above the most stable polymorph in this dataset in eV/atom: 0.3979
E in eV/cell: -14.33
Spin magnetization in Bohr magnetons per cell: 0.0
DOS at the Fermi energy in states/eV per cell: 4.70
Theoretical density in g/cm3: 5.9

Cell lengths 5.922, 5.922, 5.922 Å; angles 90.00, 90.00, 90.00 degrees
Space group Pm-3m (No. 221)
Symmetry-distinct sites (fractional):
Y (0.000, 0.000, 0.000)
Tl (0.000, 0.000, 0.500)
S (0.500, 0.500, 0.500)

2.
Density functional theory data (GGA-PBE) for a relaxed Y2TlS2 crystal.

Results
Energy above the most stable polymorph in this dataset in eV/atom: 0.0338
E in eV/cell: -59.06
Spin magnetization in Bohr magnetons per cell: 0.0
DOS at the Fermi energy in states/eV per cell: 11.33
Theoretical density in g/cm3: 6.6

Cell lengths 8.028, 8.028, 3.473 Å; angles 90.00, 90.00, 90.00 degrees
Space group P4/mbm (No. 127)
Symmetry-distinct sites (fractional):
Y (0.157, 0.343, 0.000)
Tl (0.000, 0.000, 0.500)
S (0.135, 0.635, 0.500)

3.
Density functional theory data (GGA-PBE) for a relaxed YTlS crystal.

Results
E in eV/cell: -96.72
Spin magnetization in Bohr magnetons per cell: 0.0
DOS at the Fermi energy in states/eV per cell: 10.88
Theoretical density in g/cm3: 6.5

Cell lengths 4.5495, 4.5495, 27.6343 Å; angles 90.00, 90.00, 120.00 degrees
Space group R-3m (No. 166, hexagonal axes)
Symmetry-distinct sites (fractional):
Y (0.0000, 0.0000, 0.1050)
Tl (0.0000, 0.0000, 0.3593)
S (0.0000, 0.0000, 0.2056)

4.
Density functional theory data (GGA-PBE) for a relaxed Y3Tl5S12 crystal.

Results
E in eV/cell: -764.10
Spin magnetization in Bohr magnetons per cell: 0.0
DOS at the Fermi energy in states/eV per cell: 47.68
Theoretical density in g/cm3: 5.5

Cell lengths 15.973, 15.973, 15.973 Å; angles 90.00, 90.00, 90.00 degrees
Space group Ia-3d (No. 230)
Symmetry-distinct sites (fractional):
Y (0.000, 0.250, 0.125)
Tl (0.000, 0.000, 0.000)
Tl (0.000, 0.250, 0.375)
S (0.018, 0.068, 0.654)

5.
Density functional theory data (GGA-PBE) for a relaxed Y3TlS crystal.

Results
Energy above the most stable polymorph in this dataset in eV/atom: 0.1184
E in eV/cell: -121.52
Spin magnetization in Bohr magnetons per cell: 0.0
DOS at the Fermi energy in states/eV per cell: 16.06
Theoretical density in g/cm3: 6.1

Cell lengths 9.143, 6.593, 9.941 Å; angles 90.00, 113.68, 90.00 degrees
Space group P2_1/c (No. 14)
Symmetry-distinct sites (fractional):
Y (0.061, 0.089, 0.343)
Y (0.204, 0.578, 0.542)
Y (0.381, 0.130, 0.789)
Tl (0.383, 0.665, 0.884)
S (0.081, 0.238, 0.601)

6.
Density functional theory data (GGA-PBE) for a relaxed Y4TlS3 crystal.

Results
E in eV/cell: -105.55
Spin magnetization in Bohr magnetons per cell: 0.0
DOS at the Fermi energy in states/eV per cell: 6.58
Theoretical density in g/cm3: 5.8

Cell lengths 8.255, 11.496, 3.960 Å; angles 90.00, 90.00, 90.00 degrees
Space group Cmmm (No. 65)
Symmetry-distinct sites (fractional):
Y (0.000, 0.242, 0.000)
Y (0.230, 0.000, 0.500)
Tl (0.000, 0.500, 0.000)
S (0.000, 0.000, 0.000)
S (0.250, 0.250, 0.500)

7.
Density functional theory data (GGA-PBE) for a relaxed YTl2S4 crystal.

Results
E in eV/cell: -132.33
Spin magnetization in Bohr magnetons per cell: 0.0
DOS at the Fermi energy in states/eV per cell: 10.32
Theoretical density in g/cm3: 5.4

Cell lengths 8.028, 8.302, 11.595 Å; angles 90.00, 90.00, 90.00 degrees
Space group Imma (No. 74)
Symmetry-distinct sites (fractional):
Y (0.000, 0.000, 0.000)
Tl (0.000, 0.250, 0.367)
Tl (0.250, 0.250, 0.750)
S (0.000, 0.026, 0.760)
S (0.227, 0.250, 0.996)

8.
Density functional theory data (GGA-PBE) for a relaxed Y3TlS crystal.

Results
Energy above the most stable polymorph in this dataset in eV/atom: 0.1525
E in eV/cell: -30.21
Spin magnetization in Bohr magnetons per cell: 0.0
DOS at the Fermi energy in states/eV per cell: 2.55
Theoretical density in g/cm3: 6.0

Cell lengths 5.176, 5.176, 5.176 Å; angles 90.00, 90.00, 90.00 degrees
Space group Pm-3m (No. 221)
Symmetry-distinct sites (fractional):
Y (0.000, 0.000, 0.500)
Tl (0.500, 0.500, 0.500)
S (0.000, 0.000, 0.000)

9.
Density functional theory data (GGA-PBE) for a relaxed Y5Tl2S2 crystal.

Results
E in eV/cell: -53.22
Spin magnetization in Bohr magnetons per cell: 0.0
DOS at the Fermi energy in states/eV per cell: 7.97
Theoretical density in g/cm3: 6.0

Cell lengths 3.809, 7.843, 8.647 Å; angles 90.38, 102.72, 90.00 degrees
Space group P-1 (No. 2)
Symmetry-distinct sites (fractional):
Y (0.000, 0.000, 0.000)
Y (0.139, 0.567, 0.277)
Y (0.312, 0.840, 0.624)
Tl (0.476, 0.680, 0.952)
S (0.158, 0.919, 0.315)

10.
Density functional theory data (GGA-PBE) for a relaxed YTlS3 crystal.

Results
Energy above the most stable polymorph in this dataset in eV/atom: 0.0000
E in eV/cell: -105.62
Spin magnetization in Bohr magnetons per cell: 0.0
DOS at the Fermi energy in states/eV per cell: 1.10
Theoretical density in g/cm3: 5.1

Cell lengths 4.148, 16.978, 7.134 Å; angles 90.00, 90.00, 90.00 degrees
Space group Cmcm (No. 63)
Symmetry-distinct sites (fractional):
Y (0.000, 0.198, 0.250)
Tl (0.000, 0.443, 0.250)
S (0.000, 0.029, 0.250)
S (0.000, 0.329, 0.006)

11.
Density functional theory data (GGA-PBE) for a relaxed Y2TlS2 crystal.

Results
Energy above the most stable polymorph in this dataset in eV/atom: 0.0000
E in eV/cell: -59.40
Spin magnetization in Bohr magnetons per cell: 0.0
DOS at the Fermi energy in states/eV per cell: 4.07
Theoretical density in g/cm3: 5.3

Cell lengths 4.773, 4.773, 12.314 Å; angles 90.00, 90.00, 90.00 degrees
Space group I4/mmm (No. 139)
Symmetry-distinct sites (fractional):
Y (0.000, 0.000, 0.148)
Tl (0.000, 0.000, 0.500)
S (0.000, 0.500, 0.250)

12.
Density functional theory data (GGA-PBE) for a relaxed Y2TlS2 crystal.

Results
Energy above the most stable polymorph in this dataset in eV/atom: 0.0998
E in eV/cell: -58.40
Spin magnetization in Bohr magnetons per cell: 0.0
DOS at the Fermi energy in states/eV per cell: 9.06
Theoretical density in g/cm3: 6.5

Cell lengths 8.053, 8.053, 3.537 Å; angles 90.00, 90.00, 90.00 degrees
Space group P4/mbm (No. 127)
Symmetry-distinct sites (fractional):
Y (0.156, 0.344, 0.000)
Tl (0.000, 0.000, 0.000)
S (0.137, 0.637, 0.500)

Formation energy from raw total energies for the records above, in order: 0.6715, -1.1962, -1.0538, -0.7380, -0.8988, -1.5212, -0.7681, -0.8647, -0.8796, -1.0385, -1.2300, -1.1302 eV/atom